# 1
The following is a PBE calculation of a geometry-optimized Sm2OsBr structure, from Alexandria.

abc: 4.0930 4.0930 8.0787
angles: 75.33 75.33 60.00
Fractional coordinates of all 4 atoms:
Os  0.0000  0.0000  0.0000
Br  0.5000  0.5000  0.5000
Sm  0.7320  0.7320  0.8039
Sm  0.2680  0.2680  0.1961

Properties
* crystal system: trigonal
* ρ: 8.5 g cm⁻³
* offset from the most stable computed form: 47.0 meV/atom
* total DFT energy (no corrections): -24.8 eV/cell
* formation energy from raw total energies: -0.6181 eV/atom

# 2
The following is a PBE calculation of a geometry-optimized La2BeP3Rh4 structure, from Alexandria.

abc: 4.1334 4.1334 9.7744
angles: 90.00 90.00 90.00
Fractional coordinates of all 10 atoms:
La  0.5000  0.0000  0.2574
La  0.0000  0.5000  0.7426
Be  0.5000  0.5000  0.5000
P  0.0000  0.0000  0.5000
P  0.5000  0.0000  0.8612
P  0.0000  0.5000  0.1388
Rh  0.5000  0.5000  0.0000
Rh  0.0000  0.0000  0.0000
Rh  0.5000  0.0000  0.6150
Rh  0.0000  0.5000  0.3850

Properties
* crystal system: tetragonal
* ρ: 7.9 g cm⁻³
* total DFT energy (no corrections): -69.7 eV/cell
* E_form: -102 kJ/mol of atoms

# 3
The following is a PBE calculation of a geometry-optimized Mg2TiSe structure, from Alexandria.

abc: 8.0004 8.0004 6.2450
angles: 50.17 50.17 90.00
Fractional coordinates of all 8 atoms:
Mg  0.6733  0.1250  0.2500
Mg  0.0767  0.6250  0.2500
Mg  0.3750  0.3267  0.7500
Mg  0.8750  0.9233  0.7500
Se  0.0000  0.0000  0.0000
Se  0.7500  0.2500  0.5000
Ti  0.5000  0.5000  0.0000
Ti  0.2500  0.7500  0.5000

Properties
* crystal system: tetragonal
* ρ: 3.4 g cm⁻³
* total DFT energy (no corrections): -29.7 eV/cell
* formation energy from raw total energies: -0.0750 eV/atom

# 4
The following is a PBE calculation of a geometry-optimized CaSiSe3 structure, from Alexandria.

abc: 7.0674 7.6884 9.9134
angles: 90.00 93.82 90.00
Fractional coordinates of all 20 atoms:
Ca  0.9482  0.6283  0.2692
Ca  0.5518  0.1283  0.2308
Ca  0.0518  0.3717  0.7308
Ca  0.4482  0.8717  0.7692
Si  0.3863  0.6546  0.0994
Si  0.1137  0.1546  0.4006
Si  0.6137  0.3454  0.9006
Si  0.8863  0.8454  0.5994
Se  0.1509  0.6972  0.5705
Se  0.3491  0.1972  0.9295
Se  0.8491  0.3028  0.4295
Se  0.6509  0.8028  0.0705
Se  0.8525  0.0172  0.7756
Se  0.6475  0.5172  0.7244
Se  0.1475  0.9828  0.2244
Se  0.3525  0.4828  0.2756
Se  0.6604  0.8041  0.4400
Se  0.8396  0.3041  0.0600
Se  0.3396  0.1959  0.5600
Se  0.1604  0.6959  0.9400

Properties
* crystal system: monoclinic
* ρ: 3.8 g cm⁻³
* offset from the most stable computed form: 106.8 meV/atom
* total DFT energy (no corrections): -89.8 eV/cell
* formation energy from raw total energies: -0.9146 eV/atom

# 5
The following is a PBE calculation of a geometry-optimized Ba2SnTeH structure, from Alexandria.

abc: 6.7079 4.0682 6.7079
angles: 90.00 90.00 90.00
Fractional coordinates of all 5 atoms:
H  0.0000  0.5000  0.0000
Te  0.0000  0.0000  0.0000
Ba  0.0000  0.0000  0.5000
Ba  0.5000  0.0000  0.0000
Sn  0.5000  0.5000  0.5000

Properties
* crystal system: tetragonal
* ρ: 4.7 g cm⁻³
* total DFT energy (no corrections): -16.7 eV/cell

# 6
The following is a PBE calculation of a geometry-optimized ScHgSbO2 structure, from Alexandria.

abc: 4.0858 6.1924 4.0858
angles: 90.00 90.00 90.00
Fractional coordinates of all 5 atoms:
Sc  0.0000  0.0000  0.0000
Sb  0.0000  0.5000  0.0000
Hg  0.5000  0.5000  0.5000
O  0.0000  0.0000  0.5000
O  0.5000  0.0000  0.0000

Properties
* crystal system: tetragonal
* ρ: 6.4 g cm⁻³
* total DFT energy (no corrections): -26.0 eV/cell
* formation energy from raw total energies: -1.0564 eV/atom

# 7
The following is a PBE calculation of a geometry-optimized Sc2Zn2Cd structure, from Alexandria.

abc: 3.5950 3.5950 8.6450
angles: 78.00 78.00 90.00
Fractional coordinates of all 5 atoms:
Sc  0.3948  0.3948  0.2104
Sc  0.6052  0.6052  0.7896
Zn  0.7500  0.2500  0.5000
Zn  0.2500  0.7500  0.5000
Cd  0.0000  0.0000  0.0000

Properties
* crystal system: tetragonal
* ρ: 5.2 g cm⁻³
* total DFT energy (no corrections): -16.2 eV/cell
* E_form: -1 kJ/mol of atoms

# 8
The following is a PBE calculation of a geometry-optimized Cd2BiTeP structure, from Alexandria.

abc: 5.0522 5.7152 5.0522
angles: 90.00 90.00 90.00
Fractional coordinates of all 5 atoms:
P  0.0000  0.0000  0.0000
Te  0.5000  0.5000  0.5000
Bi  0.0000  0.5000  0.0000
Cd  0.0000  0.0000  0.5000
Cd  0.5000  0.0000  0.0000

Properties
* crystal system: tetragonal
* ρ: 6.7 g cm⁻³
* total DFT energy (no corrections): -13.4 eV/cell
* formation energy from raw total energies: 0.1814 eV/atom

# 9
The following is a PBE calculation of a geometry-optimized FeCS2 structure, from Alexandria.

abc: 6.0102 6.0102 6.0102
angles: 32.37 32.37 32.37
Fractional coordinates of all 4 atoms:
C  0.0000  0.0000  0.0000
S  0.9066  0.9066  0.9066
S  0.0934  0.0934  0.0934
Fe  0.5000  0.5000  0.5000

Properties
* crystal system: trigonal
* ρ: 4.0 g cm⁻³
* total DFT energy (no corrections): -23.8 eV/cell
* formation energy from raw total energies: 0.5443 eV/atom

# 10
The following is a PBE calculation of a geometry-optimized Ba2AgPd5Au2 structure, from Alexandria.

abc: 4.0661 10.3305 10.3305
angles: 90.00 90.00 90.00
Fractional coordinates of all 20 atoms:
Ba  0.0000  0.6767  0.1767
Ba  0.0000  0.3233  0.8233
Ba  0.0000  0.1767  0.3233
Ba  0.0000  0.8233  0.6767
Ag  0.0000  0.0000  0.0000
Ag  0.0000  0.5000  0.5000
Pd  0.5000  0.1954  0.0552
Pd  0.5000  0.8046  0.9448
Pd  0.5000  0.0552  0.8046
Pd  0.5000  0.6954  0.4448
Pd  0.5000  0.9448  0.1954
Pd  0.5000  0.3046  0.5552
Pd  0.5000  0.5552  0.6954
Pd  0.5000  0.4448  0.3046
Pd  0.5000  0.5000  0.0000
Pd  0.5000  0.0000  0.5000
Au  0.0000  0.1228  0.6228
Au  0.0000  0.8772  0.3772
Au  0.0000  0.6228  0.8772
Au  0.0000  0.3772  0.1228

Properties
* crystal system: tetragonal
* ρ: 10.0 g cm⁻³
* total DFT energy (no corrections): -84.8 eV/cell
* E_form: -31 kJ/mol of atoms

# 11
The following is a PBE calculation of a geometry-optimized SrTiSe2Br structure, from Alexandria.

abc: 5.7233 5.7233 5.5648
angles: 90.00 90.00 90.00
Fractional coordinates of all 5 atoms:
Sr  0.0000  0.0000  0.0000
Se  0.0000  0.5000  0.0000
Se  0.5000  0.0000  0.0000
Br  0.0000  0.0000  0.5000
Ti  0.5000  0.5000  0.5000

Properties
* crystal system: tetragonal
* ρ: 3.4 g cm⁻³
* offset from the most stable computed form: 1417.8 meV/atom
* total DFT energy (no corrections): -17.6 eV/cell
* formation energy from raw total energies: 0.1221 eV/atom

# 12
The following is a PBE calculation of a geometry-optimized MgScSn2 structure, from Alexandria.

abc: 3.7737 3.7737 6.5747
angles: 90.00 90.00 90.00
Fractional coordinates of all 4 atoms:
Sc  0.5000  0.5000  0.5000
Mg  0.5000  0.5000  0.0000
Sn  0.0000  0.0000  0.7531
Sn  0.0000  0.0000  0.2469

Properties
* crystal system: tetragonal
* ρ: 5.4 g cm⁻³
* total DFT energy (no corrections): -17.2 eV/cell
* E_form: -30 kJ/mol of atoms